# 1
Here is an optimized crystal structure of Na2PPd6 from the Alexandria database. Energies are from PBE-GGA.

abc: 7.7327 7.7327 2.8324
angles: 90.00 90.00 120.00
Space group P-31m (No. 162)
Unique sites:
Na 0.3333 0.6667 0.0000 [2 per cell]
P 0.0000 0.0000 0.5000 [1 per cell]
Pd 0.0000 0.3126 0.7296 [6 per cell]

Output
The value obtained for the raw total energy is -4.4167 eV per atom. Its total magnetic moment is 0.0 μB per formula unit. The calculated formation energy is -0.061 eV/atom. As for the crystal system: trigonal.


# 2
Here is an optimized crystal structure of DyIn4I7 from the Alexandria database. Energies are from PBE-GGA.

abc: 22.549 5.876 8.426
angles: 90.00 107.23 90.00
Space group C2/m (No. 12)
Unique sites:
Dy 0.000 0.000 0.000 [2 per cell]
In 0.080 0.500 0.640 [4 per cell]
In 0.187 0.500 0.270 [4 per cell]
I 0.000 0.500 0.000 [2 per cell]
I 0.083 0.000 0.356 [4 per cell]
I 0.115 0.000 0.883 [4 per cell]
I 0.224 0.500 0.673 [4 per cell]

Output
The value obtained for the raw total energy is -2.9262 eV per atom. Its total magnetic moment is 0.0 μB per formula unit. The value obtained for the energy relative to the elements, uncorrected is -0.7256 eV/atom. As for the crystal system: monoclinic.


# 3
Here is an optimized crystal structure of MnCrPd4 from the Alexandria database. Energies are from PBE-GGA.

abc: 4.619 8.692 4.626
angles: 90.00 102.76 90.00
Space group C2/m (No. 12)
Unique sites:
Mn 0.000 0.000 0.000 [2 per cell]
Cr 0.000 0.500 0.500 [2 per cell]
Pd 0.000 0.160 0.500 [4 per cell]
Pd 0.000 0.341 0.000 [4 per cell]

Output
The value obtained for the raw total energy is -6.6634 eV per atom. Its total magnetic moment is 7.5 μB per formula unit. The calculated formation energy is -0.069 eV/atom. As for the crystal system: monoclinic.


# 4
Here is an optimized crystal structure of InSnGe from the Alexandria database. Energies are from PBE-GGA.

abc: 5.4345 5.4345 17.6347
angles: 90.00 90.00 120.00
Space group R-3m (No. 166, hexagonal axes)
Unique sites:
In 0.0000 0.0000 0.0906 [6 per cell]
Sn 0.0000 0.0000 0.4085 [6 per cell]
Ge 0.0000 0.0000 0.2511 [6 per cell]

Output
The value obtained for the raw total energy is -3.6654 eV per atom. Its total magnetic moment is 0.0 μB per formula unit. The calculated formation energy is 0.121 eV/atom. As for the crystal system: trigonal.


# 5
Here is an optimized crystal structure of Cs3PO4 from the Alexandria database. Energies are from PBE-GGA.

abc: 12.377 9.066 6.581
angles: 90.00 90.00 90.00
Space group Pnma (No. 62)
Unique sites:
Cs 0.073 0.250 0.137 [4 per cell]
Cs 0.146 0.010 0.682 [8 per cell]
P 0.114 0.750 0.278 [4 per cell]
O 0.017 0.750 0.433 [4 per cell]
O 0.107 0.608 0.142 [8 per cell]
O 0.223 0.750 0.401 [4 per cell]

Output
The value obtained for the raw total energy is -5.6119 eV per atom. Its total magnetic moment is 0.1 μB per formula unit. The value obtained for the energy relative to the elements, uncorrected is -2.1365 eV/atom. As for the crystal system: orthorhombic.


# 6
Here is an optimized crystal structure of Li2CaCr from the Alexandria database. Energies are from PBE-GGA.

abc: 3.658 3.675 6.940
angles: 90.00 90.00 90.00
Space group Pmmm (No. 47)
Unique sites:
Li 0.000 0.000 0.195 [2 per cell]
Ca 0.500 0.500 0.500 [1 per cell]
Cr 0.500 0.500 0.000 [1 per cell]

Output
The value obtained for the raw total energy is -3.4403 eV per atom. Its total magnetic moment is 4.4 μB per formula unit. The calculated formation energy is 0.423 eV/atom. As for the crystal system: orthorhombic.


# 7
Here is an optimized crystal structure of B5C7 from the Alexandria database. Energies are from PBE-GGA.

abc: 8.589 2.503 8.275
angles: 90.00 120.66 90.00
Space group Cm (No. 8)
Unique sites:
B 0.000 0.000 0.000 [2 per cell]
B 0.019 0.500 0.366 [2 per cell]
B 0.047 0.500 0.865 [2 per cell]
B 0.241 0.500 0.820 [2 per cell]
B 0.306 0.500 0.045 [2 per cell]
C 0.036 0.000 0.510 [2 per cell]
C 0.173 0.000 0.219 [2 per cell]
C 0.190 0.500 0.336 [2 per cell]
C 0.214 0.000 0.682 [2 per cell]
C 0.331 0.000 0.181 [2 per cell]
C 0.368 0.500 0.531 [2 per cell]
C 0.376 0.000 0.648 [2 per cell]

Output
The value obtained for the raw total energy is -7.8554 eV per atom. Its total magnetic moment is 0.0 μB per formula unit. The calculated formation energy is 0.307 eV/atom. As for the crystal system: monoclinic.


# 8
Here is an optimized crystal structure of Sr2ScTc from the Alexandria database. Energies are from PBE-GGA.

abc: 3.530 4.807 6.819
angles: 90.00 90.00 90.00
Space group Pmmm (No. 47)
Unique sites:
Sr 0.000 0.000 0.229 [2 per cell]
Sc 0.500 0.500 0.500 [1 per cell]
Tc 0.500 0.500 0.000 [1 per cell]

Output
The value obtained for the raw total energy is -4.1896 eV per atom. Its total magnetic moment is 1.5 μB per formula unit. The calculated formation energy is 0.826 eV/atom. As for the crystal system: orthorhombic.


# 9
Here is an optimized crystal structure of Rb2CuSiBr6 from the Alexandria database. Energies are from PBE-GGA.

abc: 7.432 7.432 10.612
angles: 90.00 90.00 90.00
Space group I4/mmm (No. 139)
Unique sites:
Rb 0.000 0.500 0.250 [4 per cell]
Cu 0.000 0.000 0.000 [2 per cell]
Si 0.000 0.000 0.500 [2 per cell]
Br 0.000 0.000 0.254 [4 per cell]
Br 0.248 0.248 0.500 [8 per cell]

Output
The value obtained for the raw total energy is -3.0815 eV per atom. Its total magnetic moment is 0.0 μB per formula unit. The value obtained for the energy relative to the elements, uncorrected is -0.9324 eV/atom. As for the crystal system: tetragonal.


# 10
Here is an optimized crystal structure of LiBeNb2Br from the Alexandria database. Energies are from PBE-GGA.

abc: 4.462 4.462 4.725
angles: 90.00 90.00 90.00
Space group P4/mmm (No. 123)
Unique sites:
Li 0.000 0.000 0.000 [1 per cell]
Be 0.000 0.000 0.500 [1 per cell]
Nb 0.000 0.500 0.500 [2 per cell]
Br 0.500 0.500 0.000 [1 per cell]

Output
The value obtained for the raw total energy is -4.6942 eV per atom. Its total magnetic moment is 0.0 μB per formula unit. The value obtained for the energy relative to the elements, uncorrected is 0.7963 eV/atom. As for the crystal system: tetragonal.


# 11
Here is an optimized crystal structure of PrSm3Dy from the Alexandria database. Energies are from PBE-GGA.

abc: 10.089 7.471 10.099
angles: 90.00 115.03 90.00
Space group C2/m (No. 12)
Unique sites:
Pr 0.000 0.000 0.000 [2 per cell]
Pr 0.000 0.500 0.500 [2 per cell]
Sm 0.099 0.000 0.405 [4 per cell]
Sm 0.250 0.208 0.754 [8 per cell]
Dy 0.094 0.500 0.902 [4 per cell]

Output
The value obtained for the raw total energy is -4.5225 eV per atom. Its total magnetic moment is 0.0 μB per formula unit. The calculated formation energy is 0.185 eV/atom. As for the crystal system: monoclinic.


# 12
Here is an optimized crystal structure of DyGe2P2Pt7 from the Alexandria database. Energies are from PBE-GGA.

abc: 5.535 5.490 15.128
angles: 90.00 100.21 90.00
Space group C2/m (No. 12)
Unique sites:
Dy 0.000 0.000 0.000 [2 per cell]
Ge 0.241 0.000 0.431 [4 per cell]
P 0.116 0.500 0.242 [4 per cell]
Pt 0.000 0.500 0.000 [2 per cell]
Pt 0.177 0.250 0.849 [8 per cell]
Pt 0.182 0.500 0.397 [4 per cell]

Output
The value obtained for the raw total energy is -6.1773 eV per atom. Its total magnetic moment is 0.0 μB per formula unit. The calculated formation energy is -0.599 eV/atom. As for the crystal system: monoclinic.